KCrCl2, optimized geometry, DFT PBEsol; theoretical density = 3127 kg/m3; final energy = -4.549 eV per atom; magnetic moment = 5.0 μB/f.u.; E_form (uncorrected) = -0.702 eV per atom
1.0
3.4365 0.0000 0.0000
0.0000 4.9984 0.0000
0.0000 0.0000 5.0089
K Cr Cl
1 1 2
Cartesian
0.0000 0.0000 0.0000
0.0000 2.4992 2.5045
1.7182 0.0000 2.5045
1.7182 2.4992 0.0000